1.
Dy8Sc2Cd after structural relaxation. Source: Alexandria via LeMat-Bulk, functional PBE.

- Calculated formation energy: -5 meV/atom
- N(E_F): 15.85 states/eV per cell

Lattice parameters (Å, degrees): 4.912 7.737 9.085 105.34 105.68 90.00
Element x y z (fractional)
Sc (0.225, 0.634, 0.450)
Dy (0.862, 0.814, 0.724)
Dy (0.138, 0.186, 0.276)
Sc (0.775, 0.366, 0.550)
Dy (0.682, 0.915, 0.365)
Cd (0.500, 0.000, 0.000)
Dy (0.593, 0.449, 0.187)
Dy (0.953, 0.277, 0.906)
Dy (0.318, 0.085, 0.635)
Dy (0.047, 0.723, 0.094)
Dy (0.407, 0.551, 0.813)

2.
Dy4Sc5Cd after structural relaxation. Source: Alexandria via LeMat-Bulk, functional PBE.

- Calculated formation energy: 116 meV/atom
- N(E_F): 14.28 states/eV per cell

Lattice parameters (Å, degrees): 5.432 7.674 7.674 82.80 69.27 69.27
Element x y z (fractional)
Sc (0.141, 0.632, 0.000)
Sc (0.773, 0.000, 0.368)
Dy (0.772, 0.683, 0.683)
Dy (0.456, 0.317, 0.683)
Sc (0.672, 0.000, 0.000)
Cd (0.188, 0.000, 0.000)
Dy (0.139, 0.317, 0.317)
Dy (0.456, 0.683, 0.317)
Sc (0.773, 0.368, 0.000)
Sc (0.141, 0.000, 0.632)

3.
Dy3Sc3Cd after structural relaxation. Source: Alexandria via LeMat-Bulk, functional PBE.

- Calculated formation energy: -37 meV/atom
- N(E_F): 24.21 states/eV per cell

Lattice parameters (Å, degrees): 5.278 9.060 9.059 120.03 90.00 90.00
Element x y z (fractional)
Sc (0.750, 0.771, 0.827)
Cd (0.750, 0.333, 0.667)
Dy (0.250, 0.532, 0.635)
Dy (0.750, 0.635, 0.103)
Sc (0.250, 0.229, 0.173)
Dy (0.750, 0.897, 0.532)
Sc (0.250, 0.944, 0.771)
Dy (0.250, 0.103, 0.468)
Dy (0.250, 0.365, 0.897)
Cd (0.250, 0.667, 0.333)
Dy (0.750, 0.468, 0.365)
Sc (0.750, 0.056, 0.229)
Sc (0.250, 0.827, 0.056)
Sc (0.750, 0.173, 0.944)

4.
DySc2Cd after structural relaxation. Source: Alexandria via LeMat-Bulk, functional PBE.

- Calculated formation energy: 170 meV/atom
- Relative energy among the computed polymorphs: 297 meV/atom
- N(E_F): 6.97 states/eV per cell

Lattice parameters (Å, degrees): 3.270 3.270 11.513 81.83 81.83 60.00
Site moments in Bohr magnetons follow the coordinates.
Element x y z (fractional)
Sc (0.095, 0.095, 0.716)  0.24
Dy (0.000, 0.000, 0.000)  0.18
Cd (0.500, 0.500, 0.500)  0.00
Sc (0.905, 0.905, 0.284)  0.24

5.
DyScCd4 after structural relaxation. Source: Alexandria via LeMat-Bulk, functional PBE.

- Calculated formation energy: -268 meV/atom
- Relative energy among the computed polymorphs: 0 meV/atom
- N(E_F): 4.70 states/eV per cell

Lattice parameters (Å, degrees): 3.313 4.930 9.170 90.00 111.28 90.01
Element x y z (fractional)
Cd (0.339, 0.497, 0.335)
Cd (0.173, 0.997, 0.170)
Sc (0.002, 0.997, 0.498)
Dy (0.501, 0.497, 0.998)
Cd (0.829, 0.997, 0.826)
Cd (0.663, 0.497, 0.661)

6.
DyScCd after structural relaxation. Source: Alexandria via LeMat-Bulk, functional PBE.

- Calculated formation energy: 134 meV/atom
- Relative energy among the computed polymorphs: 309 meV/atom
- N(E_F): 4.16 states/eV per cell

Lattice parameters (Å, degrees): 4.992 4.995 4.995 60.00 60.02 60.02
Element x y z (fractional)
Dy (0.250, 0.250, 0.250)
Cd (0.000, 0.000, 0.000)
Sc (0.750, 0.750, 0.750)

7.
DySc3Cd2 after structural relaxation. Source: Alexandria via LeMat-Bulk, functional PBE.

- Calculated formation energy: -167 meV/atom
- N(E_F): 7.86 states/eV per cell

Lattice parameters (Å, degrees): 3.494 3.494 11.881 90.00 90.00 90.00
Element x y z (fractional)
Dy (0.500, 0.500, 0.500)
Sc (0.000, 0.000, 0.695)
Sc (0.000, 0.000, 0.305)
Cd (0.500, 0.500, 0.847)
Sc (0.000, 0.000, 0.000)
Cd (0.500, 0.500, 0.153)

8.
Dy4Sc2Cd after structural relaxation. Source: Alexandria via LeMat-Bulk, functional PBE.

- Calculated formation energy: 39 meV/atom
- N(E_F): 9.43 states/eV per cell

Lattice parameters (Å, degrees): 3.397 8.262 8.208 117.11 101.94 90.00
Element x y z (fractional)
Sc (0.218, 0.137, 0.435)
Dy (0.635, 0.393, 0.270)
Sc (0.782, 0.863, 0.565)
Dy (0.914, 0.292, 0.828)
Cd (0.000, 0.000, 0.000)
Dy (0.086, 0.708, 0.172)
Dy (0.365, 0.607, 0.730)

9.
DySc5Cd4 after structural relaxation. Source: Alexandria via LeMat-Bulk, functional PBE.

- Calculated formation energy: -214 meV/atom
- N(E_F): 12.86 states/eV per cell

Lattice parameters (Å, degrees): 3.483 3.483 19.300 90.00 90.00 90.00
Element x y z (fractional)
Cd (0.000, 0.000, 0.405)
Cd (0.000, 0.000, 0.217)
Sc (0.500, 0.500, 0.879)
Cd (0.000, 0.000, 0.783)
Sc (0.500, 0.500, 0.687)
Dy (0.000, 0.000, 0.000)
Sc (0.500, 0.500, 0.500)
Sc (0.500, 0.500, 0.313)
Sc (0.500, 0.500, 0.121)
Cd (0.000, 0.000, 0.595)

10.
Dy3ScCd2 after structural relaxation. Source: Alexandria via LeMat-Bulk, functional PBE.

- Calculated formation energy: -182 meV/atom
- N(E_F): 8.28 states/eV per cell

Lattice parameters (Å, degrees): 3.556 3.556 12.780 90.00 90.00 90.00
Site moments in Bohr magnetons follow the coordinates.
Element x y z (fractional)
Dy (0.000, 0.000, 0.674)  0.00
Cd (0.500, 0.500, 0.162)  0.00
Dy (0.000, 0.000, 0.326)  0.00
Sc (0.500, 0.500, 0.500)  0.00
Dy (0.000, 0.000, 0.000)  0.09
Cd (0.500, 0.500, 0.838)  0.00

11.
Dy6Sc2Cd after structural relaxation. Source: Alexandria via LeMat-Bulk, functional PBE.

- Calculated formation energy: 0 meV/atom
- N(E_F): 28.95 states/eV per cell

Lattice parameters (Å, degrees): 4.904 10.259 10.258 90.00 90.00 90.00
Element x y z (fractional)
Dy (0.000, 0.670, 0.504)
Cd (0.500, 0.500, 0.000)
Dy (0.500, 0.170, 0.996)
Sc (0.500, 0.174, 0.326)
Sc (0.000, 0.674, 0.174)
Dy (0.000, 0.995, 0.830)
Sc (0.000, 0.326, 0.826)
Sc (0.500, 0.826, 0.674)
Dy (0.500, 0.505, 0.330)
Dy (0.500, 0.155, 0.655)
Dy (0.000, 0.345, 0.155)
Dy (0.500, 0.495, 0.670)
Dy (0.000, 0.005, 0.170)
Dy (0.500, 0.845, 0.345)
Cd (0.000, 0.000, 0.500)
Dy (0.000, 0.330, 0.496)
Dy (0.500, 0.830, 0.004)
Dy (0.000, 0.655, 0.845)

12.
Dy2ScCd3 after structural relaxation. Source: Alexandria via LeMat-Bulk, functional PBE.

- Calculated formation energy: -301 meV/atom
- Relative energy among the computed polymorphs: 2 meV/atom
- N(E_F): 12.62 states/eV per cell

Lattice parameters (Å, degrees): 5.195 5.195 12.774 90.00 90.00 120.00
Element x y z (fractional)
Cd (0.667, 0.333, 0.087)
Cd (0.000, 0.000, 0.745)
Cd (0.000, 0.000, 0.255)
Dy (0.667, 0.333, 0.828)
Dy (0.000, 0.000, 0.000)
Dy (0.333, 0.667, 0.172)
Sc (0.667, 0.333, 0.333)
Sc (0.333, 0.667, 0.667)
Cd (0.333, 0.667, 0.419)
Cd (0.667, 0.333, 0.581)
Dy (0.000, 0.000, 0.500)
Cd (0.333, 0.667, 0.913)

- The lowest calculated formation energy belongs to which entry?
  Dy2ScCd3